Here is a relaxed Ta2TlIr crystal from Alexandria. Energies are from PBE.

Its excess energy over the best structure of this formula in the dataset is 0.427 eV/atom. The total moment comes out at 0.000 μB/atom. The space group is No. 225. Its formation energy is 0.4254 eV per atom. The calculation puts the total energy at -8.31 eV per atom.

a b c (Å): 4.694 4.694 4.694
angles (deg): 60.00 60.00 60.00
Fractional positions:
Ta1 0.250 0.250 0.250
Ta2 0.750 0.750 0.750
Tl1 0.000 0.000 0.000
Ir1 0.500 0.500 0.500

=====

Here is a relaxed NbTe2C2 crystal from Alexandria. Energies are from PBE.

Its excess energy over the best structure of this formula in the dataset is 0.155 eV/atom. The total moment comes out at 0.000 μB/atom. The space group is No. 139. The calculation puts the total energy at -5.11 eV per atom. The value obtained for the uncorrected formation energy is 892 kJ/mol of formula units.

a b c (Å): 8.165 8.165 8.165
angles (deg): 157.04 157.04 32.70
Fractional positions:
Nb1 0.000 0.000 0.000
Te1 0.386 0.386 0.000
Te2 0.614 0.614 0.000
C1 0.250 0.750 0.500
C2 0.750 0.250 0.500

=====

Here is a relaxed TaTiCrMo crystal from Alexandria. Energies are from PBE.

The total moment comes out at 0.233 μB/atom. The space group is No. 216. Its formation energy is -0.0332 eV per atom. The calculation puts the total energy at -10.08 eV per atom.

a b c (Å): 4.448 4.448 4.448
angles (deg): 60.00 60.00 60.00
Fractional positions:
Ta1 0.000 0.000 0.000
Ti1 0.500 0.500 0.500
Cr1 0.250 0.250 0.250
Mo1 0.750 0.750 0.750

=====

Here is a relaxed Ac3Ti5S12 crystal from Alexandria. Energies are from PBE.

The total moment comes out at 0.247 μB/atom. The space group is No. 230. The calculation puts the total energy at -6.65 eV per atom. The value obtained for the uncorrected formation energy is -3053 kJ/mol of formula units.

a b c (Å): 13.548 13.548 13.548
angles (deg): 109.47 109.47 109.47
Fractional positions:
Ac1 0.125 0.250 0.375
Ac2 0.125 0.375 0.750
Ac3 0.250 0.375 0.125
Ac4 0.250 0.875 0.625
Ac5 0.375 0.125 0.250
Ac6 0.375 0.750 0.125
Ac7 0.625 0.250 0.875
Ac8 0.625 0.875 0.750
Ac9 0.750 0.125 0.375
Ac10 0.750 0.625 0.875
Ac11 0.875 0.625 0.250
Ac12 0.875 0.750 0.625
Ti1 0.000 0.000 0.000
Ti2 0.000 0.000 0.500
Ti3 0.000 0.500 0.000
Ti4 0.000 0.500 0.500
Ti5 0.125 0.750 0.875
Ti6 0.125 0.875 0.250
Ti7 0.250 0.125 0.875
Ti8 0.250 0.625 0.375
Ti9 0.375 0.250 0.625
Ti10 0.375 0.625 0.750
Ti11 0.500 0.000 0.000
Ti12 0.500 0.000 0.500
Ti13 0.500 0.500 0.000
Ti14 0.500 0.500 0.500
Ti15 0.625 0.375 0.250
Ti16 0.625 0.750 0.375
Ti17 0.750 0.375 0.625
Ti18 0.750 0.875 0.125
Ti19 0.875 0.125 0.750
Ti20 0.875 0.250 0.125
S1 0.021 0.202 0.115
S2 0.021 0.320 0.906
S3 0.087 0.702 0.680
S4 0.087 0.885 0.406
S5 0.094 0.615 0.413
S6 0.094 0.979 0.680
S7 0.115 0.021 0.202
S8 0.115 0.594 0.913
S9 0.180 0.202 0.587
S10 0.180 0.479 0.594
S11 0.202 0.115 0.021
S12 0.202 0.587 0.180
S13 0.298 0.320 0.913
S14 0.298 0.479 0.385
S15 0.320 0.906 0.021
S16 0.320 0.913 0.298
S17 0.385 0.298 0.479
S18 0.385 0.587 0.906
S19 0.406 0.087 0.885
S20 0.406 0.820 0.521
S21 0.413 0.094 0.615
S22 0.413 0.820 0.798
S23 0.479 0.385 0.298
S24 0.479 0.594 0.180
S25 0.521 0.406 0.820
S26 0.521 0.615 0.702
S27 0.587 0.180 0.202
S28 0.587 0.906 0.385
S29 0.594 0.180 0.479
S30 0.594 0.913 0.115
S31 0.615 0.413 0.094
S32 0.615 0.702 0.521
S33 0.680 0.087 0.702
S34 0.680 0.094 0.979
S35 0.702 0.521 0.615
S36 0.702 0.680 0.087
S37 0.798 0.413 0.820
S38 0.798 0.885 0.979
S39 0.820 0.521 0.406
S40 0.820 0.798 0.413
S41 0.885 0.406 0.087
S42 0.885 0.979 0.798
S43 0.906 0.021 0.320
S44 0.906 0.385 0.587
S45 0.913 0.115 0.594
S46 0.913 0.298 0.320
S47 0.979 0.680 0.094
S48 0.979 0.798 0.885

=====

Here is a relaxed LaZnIn crystal from Alexandria. Energies are from PBE.

The total moment comes out at 0.000 μB/atom. The space group is No. 62. Its formation energy is -0.4466 eV per atom. The calculation puts the total energy at -3.43 eV per atom.

a b c (Å): 6.582 5.061 9.170
angles (deg): 90.00 90.00 90.00
Fractional positions:
La1 0.212 0.250 0.079
La2 0.288 0.750 0.579
La3 0.712 0.250 0.421
La4 0.788 0.750 0.921
Zn1 0.187 0.250 0.410
Zn2 0.313 0.750 0.910
Zn3 0.687 0.250 0.090
Zn4 0.813 0.750 0.590
In1 0.015 0.250 0.727
In2 0.485 0.750 0.227
In3 0.515 0.250 0.773
In4 0.985 0.750 0.273

=====

Here is a relaxed GaAgSn crystal from Alexandria. Energies are from PBE.

The total moment comes out at 0.000 μB/atom. The space group is No. 1. Its formation energy is 0.0542 eV per atom. The calculation puts the total energy at -3.24 eV per atom.

a b c (Å): 5.097 5.144 5.936
angles (deg): 67.95 67.56 85.66
Fractional positions:
Ga1 0.000 0.000 0.000
Ga2 0.395 0.607 0.496
Ag1 0.541 0.170 0.875
Ag2 0.554 0.145 0.379
Sn1 0.114 0.429 0.207
Sn2 0.819 0.726 0.708